VASP calculation (PBE-GGA) on a relaxed FePSe2 crystal.

formation energy from raw total energies	704	meV/atom
volume	16.9	Å³/atom
DOS at the Fermi energy	4.37	states/eV per cell

Lattice parameters (Å, degrees): 4.988 4.988 4.988 131.84 131.84 70.48
Last column: magnetic moment on the atom in μB.
Atoms (fractional coordinates):
Fe 0.500 0.500 0.000  2.78
P 0.750 0.250 0.500  -0.08
Se 0.000 0.000 0.000  -0.10
Se 0.250 0.750 0.500  -0.02

VASP calculation (PBE-GGA) on a relaxed Fe2PSe crystal.

formation energy from raw total energies	97	meV/atom
volume	16.2	Å³/atom
DOS at the Fermi energy	2.15	states/eV per cell

Lattice parameters (Å, degrees): 8.972 8.972 8.972 18.68 18.68 18.68
Last column: magnetic moment on the atom in μB.
Atoms (fractional coordinates):
Fe 0.994 0.994 0.994  2.32
Fe 0.254 0.254 0.254  2.01
P 0.528 0.528 0.528  -0.12
Se 0.725 0.725 0.725  -0.07

VASP calculation (PBE-GGA) on a relaxed FePSe2 crystal.

formation energy from raw total energies	576	meV/atom
volume	16.8	Å³/atom
DOS at the Fermi energy	3.64	states/eV per cell

Lattice parameters (Å, degrees): 3.165 4.607 4.607 90.00 90.00 90.00
Last column: magnetic moment on the atom in μB.
Atoms (fractional coordinates):
Fe 0.500 0.500 0.000  2.96
P 0.500 0.000 0.500  0.03
Se 0.000 0.000 0.000  -0.01
Se 0.000 0.500 0.500  -0.01

VASP calculation (PBE-GGA) on a relaxed FePSe2 crystal.

formation energy from raw total energies	82	meV/atom
volume	20.7	Å³/atom
DOS at the Fermi energy	2.49	states/eV per cell

Lattice parameters (Å, degrees): 3.498 4.144 5.761 82.02 90.00 90.00
Last column: magnetic moment on the atom in μB.
Atoms (fractional coordinates):
Fe 0.000 0.481 0.632  0.67
P 0.500 0.779 0.602  -0.04
Se 0.000 0.944 0.888  -0.03
Se 0.500 0.296 0.378  0.00

VASP calculation (PBE-GGA) on a relaxed Fe2PSe crystal.

formation energy from raw total energies	-113	meV/atom
volume	13.6	Å³/atom
DOS at the Fermi energy	2.95	states/eV per cell

Lattice parameters (Å, degrees): 6.312 6.312 6.312 150.52 153.82 39.83
Last column: magnetic moment on the atom in μB.
Atoms (fractional coordinates):
Fe 0.986 0.986 0.000  0.80
Fe 0.679 0.179 0.500  1.57
P 0.544 0.544 0.000  -0.07
Se 0.292 0.792 0.500  -0.04

VASP calculation (PBE-GGA) on a relaxed FeP4Se crystal.

formation energy from raw total energies	796	meV/atom
volume	18.0	Å³/atom
DOS at the Fermi energy	4.80	states/eV per cell

Lattice parameters (Å, degrees): 5.350 5.350 5.350 60.00 60.00 60.00
Last column: magnetic moment on the atom in μB.
Atoms (fractional coordinates):
Fe 0.000 0.000 0.000  3.26
P 0.606 0.606 0.182  0.03
P 0.606 0.182 0.606  0.03
P 0.606 0.606 0.606  0.03
P 0.182 0.606 0.606  0.03
Se 0.250 0.250 0.250  0.24

VASP calculation (PBE-GGA) on a relaxed FePSe2 crystal.

formation energy from raw total energies	159	meV/atom
volume	24.4	Å³/atom
DOS at the Fermi energy	2.10	states/eV per cell

Lattice parameters (Å, degrees): 7.719 7.719 7.719 159.54 142.56 43.04
Last column: magnetic moment on the atom in μB.
Atoms (fractional coordinates):
Fe 0.518 0.518 0.000  2.50
P 0.387 0.887 0.500  -0.05
Se 0.942 0.942 0.000  0.07
Se 0.652 0.152 0.500  0.15

VASP calculation (PBE-GGA) on a relaxed FePSe3 crystal.

formation energy from raw total energies	-131	meV/atom
volume	21.7	Å³/atom
DOS at the Fermi energy	7.67	states/eV per cell

Lattice parameters (Å, degrees): 7.459 7.459 7.459 49.04 49.04 49.04
Last column: magnetic moment on the atom in μB.
Atoms (fractional coordinates):
Fe 0.166 0.166 0.166  0.15
Fe 0.834 0.834 0.834  0.15
P 0.445 0.445 0.445  0.00
P 0.555 0.555 0.555  0.00
Se 0.429 0.053 0.802  0.00
Se 0.053 0.802 0.429  0.00
Se 0.802 0.429 0.053  0.00
Se 0.571 0.947 0.198  0.00
Se 0.947 0.198 0.571  0.00
Se 0.198 0.571 0.947  0.00

VASP calculation (PBE-GGA) on a relaxed FePSe2 crystal.

formation energy from raw total energies	253	meV/atom
volume	17.7	Å³/atom
DOS at the Fermi energy	5.24	states/eV per cell

Lattice parameters (Å, degrees): 4.512 4.513 4.515 69.99 70.79 109.20
Last column: magnetic moment on the atom in μB.
Atoms (fractional coordinates):
Fe 0.500 0.500 0.000  2.75
P 0.500 0.000 0.500  0.00
Se 0.000 0.000 0.000  0.00
Se 0.000 0.500 0.500  0.00

VASP calculation (PBE-GGA) on a relaxed FeSnPSe2 crystal.

formation energy from raw total energies	1087	meV/atom
volume	26.6	Å³/atom
DOS at the Fermi energy	5.28	states/eV per cell

Lattice parameters (Å, degrees): 5.195 4.927 5.195 90.00 90.00 90.00
Last column: magnetic moment on the atom in μB.
Atoms (fractional coordinates):
P 0.000 0.500 0.000  -0.21
Sn 0.000 0.000 0.000  0.00
Se 0.000 0.000 0.500  -0.06
Se 0.500 0.000 0.000  -0.03
Fe 0.500 0.500 0.500  -3.39

VASP calculation (PBE-GGA) on a relaxed SrFeP2Se8 crystal.

formation energy from raw total energies	-356	meV/atom
volume	24.3	Å³/atom
DOS at the Fermi energy	6.44	states/eV per cell

Lattice parameters (Å, degrees): 6.150 6.150 8.887 90.00 90.00 120.00
Last column: magnetic moment on the atom in μB.
Atoms (fractional coordinates):
Sr 0.000 0.000 0.000  0.01
Fe 0.000 0.000 0.500  1.55
P 0.667 0.333 0.273  -0.01
P 0.333 0.667 0.727  -0.01
Se 0.333 0.667 0.973  0.04
Se 0.297 0.320 0.332  0.03
Se 0.680 0.977 0.332  0.03
Se 0.667 0.333 0.027  0.04
Se 0.320 0.023 0.668  0.03
Se 0.703 0.680 0.668  0.03
Se 0.977 0.297 0.668  0.03
Se 0.023 0.703 0.332  0.03

VASP calculation (PBE-GGA) on a relaxed Fe2TcPSe crystal.

formation energy from raw total energies	625	meV/atom
volume	15.3	Å³/atom
DOS at the Fermi energy	8.61	states/eV per cell

Lattice parameters (Å, degrees): 4.137 4.456 4.137 90.00 90.00 90.00
Atoms (fractional coordinates):
P 0.000 0.000 0.000
Tc 0.000 0.500 0.000
Se 0.500 0.500 0.500
Fe 0.000 0.000 0.500
Fe 0.500 0.000 0.000

VASP calculation (PBE-GGA) on a relaxed Th8FeP3Se4 crystal.

formation energy from raw total energies	-1395	meV/atom
volume	25.9	Å³/atom
DOS at the Fermi energy	13.09	states/eV per cell

Lattice parameters (Å, degrees): 8.306 8.424 8.306 119.54 120.00 90.00
Atoms (fractional coordinates):
Th 0.234 0.723 0.989
Th 0.234 0.723 0.469
Th 0.257 0.270 0.513
Th 0.754 0.723 0.989
Th 0.246 0.277 0.011
Th 0.743 0.730 0.487
Th 0.766 0.277 0.531
Th 0.766 0.277 0.011
Fe 0.000 0.500 0.000
P 0.500 0.500 0.000
P 0.500 0.500 0.500
P 0.000 0.500 0.500
Se 0.500 0.000 0.000
Se 0.500 0.000 0.500
Se 0.000 0.000 0.000
Se 0.000 0.000 0.500

VASP calculation (PBE-GGA) on a relaxed Th4FePSe2 crystal.

formation energy from raw total energies	-1181	meV/atom
volume	25.9	Å³/atom
DOS at the Fermi energy	5.90	states/eV per cell

Lattice parameters (Å, degrees): 4.003 7.320 7.450 108.54 90.00 90.00
Atoms (fractional coordinates):
Th 0.500 0.246 0.227
Th 0.500 0.754 0.773
Th 0.000 0.282 0.790
Th 0.000 0.718 0.210
Fe 0.500 0.500 0.000
P 0.000 0.000 0.000
Se 0.500 0.000 0.500
Se 0.000 0.500 0.500

VASP calculation (PBE-GGA) on a relaxed VFePSe2 crystal.

formation energy from raw total energies	539	meV/atom
volume	20.9	Å³/atom
DOS at the Fermi energy	5.96	states/eV per cell

Lattice parameters (Å, degrees): 4.821 4.497 4.821 90.00 90.00 90.00
Last column: magnetic moment on the atom in μB.
Atoms (fractional coordinates):
P 0.000 0.500 0.000  -0.03
Fe 0.500 0.500 0.500  3.31
Se 0.000 0.000 0.500  0.05
Se 0.500 0.000 0.000  0.02
V 0.000 0.000 0.000  0.36

VASP calculation (PBE-GGA) on a relaxed ZrFeP2Se crystal.

formation energy from raw total energies	659	meV/atom
volume	19.5	Å³/atom
DOS at the Fermi energy	2.70	states/eV per cell

Lattice parameters (Å, degrees): 4.818 4.818 4.191 90.00 90.00 90.00
Last column: magnetic moment on the atom in μB.
Atoms (fractional coordinates):
P 0.000 0.500 0.000  0.05
P 0.500 0.000 0.000  0.05
Se 0.000 0.000 0.000  0.01
Zr 0.500 0.500 0.500  -0.17
Fe 0.000 0.000 0.500  2.08

VASP calculation (PBE-GGA) on a relaxed FeSi2P crystal.

formation energy from raw total energies	220	meV/atom
volume	13.8	Å³/atom
DOS at the Fermi energy	3.13	states/eV per cell

Lattice parameters (Å, degrees): 3.580 4.959 3.584 70.29 86.18 109.69
Last column: magnetic moment on the atom in μB.
Atoms (fractional coordinates):
Fe 0.000 0.500 0.500  2.09
P 0.500 0.500 0.000  -0.02
Si 0.000 0.000 0.000  -0.01
Si 0.500 0.000 0.500  -0.01

VASP calculation (PBE-GGA) on a relaxed FeSi2P crystal.

formation energy from raw total energies	380	meV/atom
volume	13.0	Å³/atom
DOS at the Fermi energy	2.77	states/eV per cell

Lattice parameters (Å, degrees): 4.099 4.099 3.092 90.00 90.00 90.00
Last column: magnetic moment on the atom in μB.
Atoms (fractional coordinates):
Fe 0.500 0.000 0.500  1.74
P 0.000 0.500 0.500  0.00
Si 0.000 0.000 0.000  0.00
Si 0.500 0.500 0.000  0.00

VASP calculation (PBE-GGA) on a relaxed FeSiP crystal.

formation energy from raw total energies	-85	meV/atom
volume	14.9	Å³/atom
DOS at the Fermi energy	9.15	states/eV per cell
energy above the most stable polymorph in this dataset	0.183	eV/atom

Lattice parameters (Å, degrees): 5.356 5.356 6.226 90.00 90.00 90.00
Last column: magnetic moment on the atom in μB.
Atoms (fractional coordinates):
Fe 0.511 0.511 0.000  0.06
Fe 0.489 0.489 0.500  0.06
Fe 0.989 0.011 0.250  0.06
Fe 0.011 0.989 0.750  0.06
Si 0.716 0.284 0.750  0.00
Si 0.784 0.784 0.500  0.00
Si 0.216 0.216 0.000  0.00
Si 0.284 0.716 0.250  0.00
P 0.703 0.297 0.250  0.00
P 0.797 0.797 0.000  0.00
P 0.203 0.203 0.500  0.00
P 0.297 0.703 0.750  0.00

VASP calculation (PBE-GGA) on a relaxed FeSi2P crystal.

formation energy from raw total energies	257	meV/atom
volume	12.3	Å³/atom
DOS at the Fermi energy	2.59	states/eV per cell

Lattice parameters (Å, degrees): 2.809 3.370 5.195 90.00 90.00 90.00
Atoms (fractional coordinates):
Fe 0.500 0.500 0.250
P 0.500 0.500 0.750
Si 0.000 0.000 0.013
Si 0.000 0.000 0.487